! SCAN BaSb3Cl, single point on PBEsol structure; values from VASP
&SYSTEM
  ibrav = 0, nat = 5, ntyp = 3
/
ATOMIC_SPECIES
Sb 121.76 Sb.upf
Cl 35.45 Cl.upf
Ba 137.33 Ba.upf
CELL_PARAMETERS angstrom
-5.038 3.236 1.246
-1.247 0.360 -5.977
-3.235 -5.178 0.363
ATOMIC_POSITIONS crystal
Sb 0.500 0.000 0.000
Sb 0.000 0.000 0.500
Sb 0.000 0.500 0.000
Cl 0.500 0.500 0.500
Ba 0.000 0.000 0.000
! - ΔE to the lowest computed polymorph: 1.026 eV per atom
! - Total DFT energy (no corrections): -30.854 eV per atom
! - Energy relative to the elements, uncorrected: 5.0 eV per formula unit

! SCAN Hg3GeI, single point on PBEsol structure; values from VASP
&SYSTEM
  ibrav = 0, nat = 5, ntyp = 3
/
ATOMIC_SPECIES
Hg 200.59 Hg.upf
Ge 72.64 Ge.upf
I 126.90 I.upf
CELL_PARAMETERS angstrom
-1.207 1.344 -4.918
-2.915 -4.328 -0.467
-4.183 2.629 1.745
ATOMIC_POSITIONS crystal
Hg 0.500 0.000 0.000
Hg 0.000 0.500 0.000
Hg 0.000 0.000 0.500
Ge 0.000 0.000 0.000
I 0.500 0.500 0.500
! - Total DFT energy (no corrections): -52.137 eV per atom
! - Energy relative to the elements, uncorrected: -0.4 eV per formula unit

! SCAN TlTcAs4, single point on PBEsol structure; values from VASP
&SYSTEM
  ibrav = 0, nat = 6, ntyp = 3
/
ATOMIC_SPECIES
As 74.92 As.upf
Tc 98.00 Tc.upf
Tl 204.38 Tl.upf
CELL_PARAMETERS angstrom
-4.112 -3.552 0.802
-0.037 -3.195 4.468
-3.667 0.900 3.989
ATOMIC_POSITIONS crystal
As 0.376 0.376 0.874
As 0.376 0.376 0.376
As 0.376 0.874 0.376
As 0.874 0.376 0.376
Tc 0.750 0.750 0.750
Tl 0.000 0.000 0.000
! - Total DFT energy (no corrections): -30.613 eV per atom
! - Energy of formation: 4.502 eV per formula unit

! SCAN La2YAl, single point on PBEsol structure; values from VASP
&SYSTEM
  ibrav = 0, nat = 4, ntyp = 3
/
ATOMIC_SPECIES
La 138.91 La.upf
Y 88.91 Y.upf
Al 26.98 Al.upf
CELL_PARAMETERS angstrom
-2.579 -1.604 1.932
-0.051 -2.736 -2.339
6.173 -4.186 4.764
ATOMIC_POSITIONS crystal
La 0.000 0.000 0.966
La 0.500 0.500 0.255
Y 0.000 0.000 0.540
Al 0.500 0.500 0.738
! - Total DFT energy (no corrections): -30.636 eV per atom
! - Energy of formation: -0.739 eV per formula unit

! SCAN AlP2SeS, single point on PBEsol structure; values from VASP
&SYSTEM
  ibrav = 0, nat = 5, ntyp = 4
/
ATOMIC_SPECIES
Al 26.98 Al.upf
P 30.97 P.upf
Se 78.96 Se.upf
S 32.06 S.upf
CELL_PARAMETERS angstrom
-0.114 -2.342 4.107
-2.359 -3.491 -2.057
4.050 -2.098 -1.084
ATOMIC_POSITIONS crystal
Al 0.500 0.500 0.500
P 0.000 0.500 0.000
P 0.000 0.000 0.500
Se 0.000 0.000 0.000
S 0.500 0.000 0.000
! - Total DFT energy (no corrections): -10.599 eV per atom
! - Energy relative to the elements, uncorrected: 5.3 eV per formula unit

! SCAN In3SiW, single point on PBEsol structure; values from VASP
&SYSTEM
  ibrav = 0, nat = 5, ntyp = 3
/
ATOMIC_SPECIES
Si 28.09 Si.upf
In 114.82 In.upf
W 183.84 W.upf
CELL_PARAMETERS angstrom
5.023 0.000 0.000
0.000 5.023 0.000
0.000 0.000 5.023
ATOMIC_POSITIONS crystal
Si 0.000 0.000 0.000
In 0.000 0.500 0.000
In 0.500 0.000 0.000
In 0.000 0.000 0.500
W 0.500 0.500 0.500
! - Total DFT energy (no corrections): -34.418 eV per atom
! - Energy relative to the elements, uncorrected: 7.8 eV per formula unit